Arrangement a

This record from Alexandria describes a geometry-optimized NbZnS2Cl structure. The functional is PBE.

Results
Its density is 4.24 g cm⁻³.

a b c (Å): 4.697 4.697 4.579
angles (deg): 90.00 90.00 90.00
Space group P4/mmm (No. 123)
Symmetry-distinct sites (fractional):
1 Nb 0.000 0.000 0.000 x1
2 Zn 0.500 0.500 0.500 x1
3 S 0.000 0.500 0.500 x2
4 Cl 0.500 0.500 0.000 x1

---

Arrangement b

This record from Alexandria describes a geometry-optimized NbZnS2Cl structure. The functional is PBE.

Results
Its density is 3.72 g cm⁻³.

a b c (Å): 4.819 4.819 4.956
angles (deg): 90.00 90.00 90.00
Space group P4/mmm (No. 123)
Symmetry-distinct sites (fractional):
1 Nb 0.000 0.000 0.000 x1
2 Zn 0.500 0.500 0.500 x1
3 S 0.000 0.500 0.000 x2
4 Cl 0.000 0.000 0.500 x1

---

Which is the most stable structure? arrangement b is the most stable.

---

Arrangement a

This record from Alexandria describes a geometry-optimized NbZnSCl2 structure. The functional is PBE.

Results
Its density is 4.05 g cm⁻³.

a b c (Å): 4.626 4.626 5.006
angles (deg): 90.00 90.00 90.00
Space group P4/mmm (No. 123)
Symmetry-distinct sites (fractional):
1 Nb 0.000 0.000 0.000 x1
2 Zn 0.500 0.500 0.500 x1
3 S 0.500 0.500 0.000 x1
4 Cl 0.000 0.500 0.500 x2

---

Arrangement b

This record from Alexandria describes a geometry-optimized NbZnSCl2 structure. The functional is PBE.

Results
Its density is 3.67 g cm⁻³.

a b c (Å): 4.966 4.966 4.791
angles (deg): 90.00 90.00 90.00
Space group P4/mmm (No. 123)
Symmetry-distinct sites (fractional):
1 Nb 0.000 0.000 0.000 x1
2 Zn 0.500 0.500 0.500 x1
3 S 0.000 0.000 0.500 x1
4 Cl 0.000 0.500 0.000 x2

---

Which is the most stable structure? arrangement b is the most stable.

---

Arrangement a

This record from Alexandria describes a geometry-optimized ZrNbS2Cl structure. The functional is PBE.

Results
Its density is 4.05 g cm⁻³.

a b c (Å): 4.926 4.926 4.797
angles (deg): 90.00 90.00 90.00
Space group P4/mmm (No. 123)
Symmetry-distinct sites (fractional):
1 Zr 0.000 0.000 0.000 x1
2 Nb 0.500 0.500 0.500 x1
3 S 0.000 0.500 0.000 x2
4 Cl 0.000 0.000 0.500 x1

---

Arrangement b

This record from Alexandria describes a geometry-optimized ZrNbS2Cl structure. The functional is PBE.

Results
Its density is 4.27 g cm⁻³.

a b c (Å): 4.818 4.818 4.757
angles (deg): 90.00 90.00 90.00
Space group P4/mmm (No. 123)
Symmetry-distinct sites (fractional):
1 Zr 0.000 0.000 0.000 x1
2 Nb 0.500 0.500 0.500 x1
3 S 0.000 0.500 0.500 x2
4 Cl 0.500 0.500 0.000 x1

---

Which is the most stable structure? arrangement b is the most stable.

---

Arrangement a

This record from Alexandria describes a geometry-optimized ZrNbSCl2 structure. The functional is PBE.

Results
Its density is 3.83 g cm⁻³.

a b c (Å): 4.959 4.959 5.067
angles (deg): 90.00 90.00 90.00
Space group P4/mmm (No. 123)
Symmetry-distinct sites (fractional):
1 Zr 0.000 0.000 0.000 x1
2 Nb 0.500 0.500 0.500 x1
3 S 0.000 0.000 0.500 x1
4 Cl 0.000 0.500 0.000 x2

---

Arrangement b

This record from Alexandria describes a geometry-optimized ZrNbSCl2 structure. The functional is PBE.

Results
Its density is 4.18 g cm⁻³.

a b c (Å): 4.858 4.858 4.830
angles (deg): 90.00 90.00 90.00
Space group P4/mmm (No. 123)
Symmetry-distinct sites (fractional):
1 Zr 0.000 0.000 0.000 x1
2 Nb 0.500 0.500 0.500 x1
3 S 0.500 0.500 0.000 x1
4 Cl 0.000 0.500 0.500 x2

---

Which is the most stable structure? arrangement a is the most stable.

---

Arrangement a

This record from Alexandria describes a geometry-optimized Nb2SbCl structure. The functional is PBE.

Results
Its density is 7.52 g cm⁻³.

a b c (Å): 6.718 6.718 6.718
angles (deg): 90.00 90.00 90.00
Space group Fm-3m (No. 225)
Symmetry-distinct sites (fractional):
1 Nb 0.250 0.250 0.250 x8
2 Sb 0.000 0.000 0.000 x4
3 Cl 0.000 0.000 0.500 x4

---

Arrangement b

This record from Alexandria describes a geometry-optimized Nb2SbCl structure. The functional is PBE.

Results
Its density is 6.25 g cm⁻³.

a b c (Å): 4.696 4.696 16.521
angles (deg): 90.00 90.00 90.00
Space group I-42d (No. 122)
Symmetry-distinct sites (fractional):
1 Nb 0.175 0.250 0.125 x8
2 Sb 0.000 0.000 0.500 x4
3 Cl 0.000 0.000 0.000 x4

---

Which is the most stable structure? arrangement a is the most stable.

---

Arrangement a

This record from Alexandria describes a geometry-optimized NbSb3Cl structure. The functional is PBE.

Results
Its density is 5.42 g cm⁻³.

a b c (Å): 5.329 5.329 5.329
angles (deg): 90.00 90.00 90.00
Space group Pm-3m (No. 221)
Symmetry-distinct sites (fractional):
1 Nb 0.000 0.000 0.000 x1
2 Sb 0.000 0.000 0.500 x3
3 Cl 0.500 0.500 0.500 x1

---

Arrangement b

This record from Alexandria describes a geometry-optimized NbSb3Cl structure. The functional is PBE.

Results
Its density is 5.94 g cm⁻³.

a b c (Å): 5.169 5.169 5.169
angles (deg): 90.00 90.00 90.00
Space group Pm-3m (No. 221)
Symmetry-distinct sites (fractional):
1 Nb 0.000 0.000 0.000 x1
2 Sb 0.000 0.500 0.500 x3
3 Cl 0.500 0.500 0.500 x1

---

Which is the most stable structure? arrangement a is the most stable.

---

Arrangement a

This record from Alexandria describes a geometry-optimized NbSb2TeCl structure. The functional is PBE.

Results
Its density is 5.41 g cm⁻³.

a b c (Å): 5.380 5.380 5.298
angles (deg): 90.00 90.00 90.00
Space group P4/mmm (No. 123)
Symmetry-distinct sites (fractional):
1 Nb 0.000 0.000 0.000 x1
2 Sb 0.000 0.500 0.000 x2
3 Te 0.000 0.000 0.500 x1
4 Cl 0.500 0.500 0.500 x1

---

Arrangement b

This record from Alexandria describes a geometry-optimized NbSb2TeCl structure. The functional is PBE.

Results
Its density is 5.89 g cm⁻³.

a b c (Å): 5.159 5.159 5.289
angles (deg): 90.00 90.00 90.00
Space group P4/mmm (No. 123)
Symmetry-distinct sites (fractional):
1 Nb 0.000 0.000 0.000 x1
2 Sb 0.000 0.500 0.500 x2
3 Te 0.500 0.500 0.000 x1
4 Cl 0.500 0.500 0.500 x1

---

Which is the most stable structure? arrangement a is the most stable.